Entry from Alexandria: Sr8Hg2As after structural relaxation (PBE).

Geometry as POSCAR:
```
Sr8Hg2As
1.0
7.0166 -4.9966 0.0000
7.0166 4.9966 0.0000
-2.3972 0.0000 7.2156
Sr Hg As
8 2 1
direct
0.0780 0.0780 0.2792 Sr
0.1462 0.5543 0.2573 Sr
0.3679 0.3679 0.7540 Sr
0.4457 0.8538 0.7427 Sr
0.5543 0.1462 0.2573 Sr
0.6321 0.6321 0.2460 Sr
0.8538 0.4457 0.7427 Sr
0.9220 0.9220 0.7208 Sr
0.1811 0.1811 0.9434 Hg
0.8189 0.8189 0.0566 Hg
0.5000 0.5000 0.5000 As
```

## Properties
- Total DFT energy (no corrections): -2.10 eV/atom
- Theoretical density: 3.86 Mg/m³
- ΔE_f: -397 meV per atom
- Magnetic moment: 0.000 μB per formula unit